# 1
A geometry-optimized RbSi3F structure, computed with PBE.

```
data_RbSi3F
_space_group_name_H-M_alt 'P m -3 m'
_space_group_IT_number 221
_space_group_name_Hall '-P 4 2 3'
_cell_length_a 4.782
_cell_length_b 4.782
_cell_length_c 4.782
_cell_angle_alpha 90.00
_cell_angle_beta 90.00
_cell_angle_gamma 90.00
loop_
_atom_site_label
_atom_site_fract_x
_atom_site_fract_y
_atom_site_fract_z
_atom_site_occupancy
Rb1 0.000 0.000 0.000 1
Si1 0.000 0.500 0.500 1
F1 0.500 0.500 0.500 1
```

Results
- M_tot: 0.00 μB/f.u.
- ρ: 2.9 g cm⁻³
- Final energy: -16.37 eV/cell
- E_form (uncorrected): 547.1 meV per atom

# 2
A geometry-optimized Rb3SiF7 structure, computed with PBE.

```
data_Rb3SiF7
_space_group_name_H-M_alt 'C 1 m 1'
_space_group_IT_number 8
_cell_length_a 8.103
_cell_length_b 8.078
_cell_length_c 6.260
_cell_angle_alpha 90.00
_cell_angle_beta 92.82
_cell_angle_gamma 90.00
loop_
_space_group_symop_operation_xyz
'x,y,z'
'x,-y,z'
'x+1/2,y+1/2,z'
'x+1/2,-y+1/2,z'
loop_
_atom_site_label
_atom_site_fract_x
_atom_site_fract_y
_atom_site_fract_z
_atom_site_occupancy
Rb1 0.000 0.000 0.000 1
Rb2 0.249 0.250 0.503 1
Si1 0.001 0.500 0.004 1
F1 0.089 0.349 0.853 1
F2 0.174 0.500 0.177 1
F3 0.329 0.000 0.832 1
F4 0.414 0.151 0.156 1
F5 0.499 0.500 0.508 1
```

Results
- M_tot: 0.09 μB/f.u.
- ρ: 3.4 g cm⁻³
- Final energy: -109.84 eV/cell
- E_form (uncorrected): -3045.1 meV per atom

# 3
A geometry-optimized Rb3SiF6 structure, computed with PBE.

```
data_Rb3SiF6
_space_group_name_H-M_alt 'F m -3 m'
_space_group_IT_number 225
_space_group_name_Hall '-F 4 2 3'
_cell_length_a 9.467
_cell_length_b 9.467
_cell_length_c 9.467
_cell_angle_alpha 90.00
_cell_angle_beta 90.00
_cell_angle_gamma 90.00
loop_
_atom_site_label
_atom_site_fract_x
_atom_site_fract_y
_atom_site_fract_z
_atom_site_occupancy
Rb1 0.000 0.000 0.000 1
Rb2 0.250 0.250 0.250 1
Si1 0.000 0.000 0.500 1
F1 0.000 0.000 0.316 1
```

Results
- M_tot: 0.00 μB/f.u.
- ρ: 3.1 g cm⁻³
- Final energy: -186.65 eV/cell
- E_form (uncorrected): -2710.8 meV per atom

# 4
A geometry-optimized RbSi2F8 structure, computed with PBE.

```
data_RbSi2F8
_space_group_name_H-M_alt 'P -1'
_space_group_IT_number 2
_cell_length_a 4.760
_cell_length_b 7.230
_cell_length_c 7.239
_cell_angle_alpha 60.10
_cell_angle_beta 89.88
_cell_angle_gamma 89.97
loop_
_space_group_symop_operation_xyz
'x,y,z'
'-x,-y,-z'
loop_
_atom_site_label
_atom_site_fract_x
_atom_site_fract_y
_atom_site_fract_z
_atom_site_occupancy
Rb1 0.000 0.000 0.000 1
Si1 0.386 0.333 0.333 1
F1 0.275 0.209 0.577 1
F2 0.275 0.577 0.214 1
F3 0.276 0.214 0.209 1
F4 0.276 0.667 0.667 1
```

Results
- M_tot: 0.00 μB/f.u.
- ρ: 2.3 g cm⁻³
- Final energy: -58.13 eV/cell
- E_form (uncorrected): -2849.7 meV per atom

# 5
A geometry-optimized RbSi3F structure, computed with PBE.

```
data_RbSi3F
_space_group_name_H-M_alt 'P m -3 m'
_space_group_IT_number 221
_space_group_name_Hall '-P 4 2 3'
_cell_length_a 6.207
_cell_length_b 6.207
_cell_length_c 6.207
_cell_angle_alpha 90.00
_cell_angle_beta 90.00
_cell_angle_gamma 90.00
loop_
_atom_site_label
_atom_site_fract_x
_atom_site_fract_y
_atom_site_fract_z
_atom_site_occupancy
Rb1 0.000 0.000 0.000 1
Si1 0.000 0.000 0.500 1
F1 0.500 0.500 0.500 1
```

Results
- M_tot: 5.19 μB/f.u.
- ρ: 1.3 g cm⁻³
- Final energy: -8.92 eV/cell
- E_form (uncorrected): 2037.7 meV per atom

# 6
A geometry-optimized RbSiF2 structure, computed with PBE.

```
data_RbSiF2
_space_group_name_H-M_alt 'R -3 m'
_space_group_IT_number 166
_space_group_name_Hall '-R 3 2"'
_cell_length_a 3.6065
_cell_length_b 3.6065
_cell_length_c 21.9505
_cell_angle_alpha 90.00
_cell_angle_beta 90.00
_cell_angle_gamma 120.00
loop_
_atom_site_label
_atom_site_fract_x
_atom_site_fract_y
_atom_site_fract_z
_atom_site_occupancy
Rb1 0.0000 0.0000 0.0000 1
Si1 0.0000 0.0000 0.5000 1
F1 0.0000 0.0000 0.4129 1
```

Results
- M_tot: 0.00 μB/f.u.
- ρ: 3.1 g cm⁻³
- Final energy: -51.55 eV/cell
- E_form (uncorrected): -1762.4 meV per atom

# 7
A geometry-optimized RbSiF2 structure, computed with PBE.

```
data_RbSiF2
_space_group_name_H-M_alt 'R -3 m'
_space_group_IT_number 166
_space_group_name_Hall '-R 3 2"'
_cell_length_a 4.0503
_cell_length_b 4.0503
_cell_length_c 15.8322
_cell_angle_alpha 90.00
_cell_angle_beta 90.00
_cell_angle_gamma 120.00
loop_
_atom_site_label
_atom_site_fract_x
_atom_site_fract_y
_atom_site_fract_z
_atom_site_occupancy
Rb1 0.0000 0.0000 0.0000 1
Si1 0.0000 0.0000 0.5000 1
F1 0.0000 0.0000 0.2106 1
```

Results
- M_tot: 1.00 μB/f.u.
- ρ: 3.4 g cm⁻³
- Final energy: -47.19 eV/cell
- E_form (uncorrected): -1399.5 meV per atom

# 8
A geometry-optimized Rb2SiF structure, computed with PBE.

```
data_Rb2SiF
_space_group_name_H-M_alt 'F m -3 m'
_space_group_IT_number 225
_space_group_name_Hall '-F 4 2 3'
_cell_length_a 8.163
_cell_length_b 8.163
_cell_length_c 8.163
_cell_angle_alpha 90.00
_cell_angle_beta 90.00
_cell_angle_gamma 90.00
loop_
_atom_site_label
_atom_site_fract_x
_atom_site_fract_y
_atom_site_fract_z
_atom_site_occupancy
Rb1 0.250 0.250 0.250 1
Si1 0.000 0.000 0.000 1
F1 0.000 0.000 0.500 1
```

Results
- M_tot: 3.00 μB/f.u.
- ρ: 2.7 g cm⁻³
- Final energy: -45.19 eV/cell
- E_form (uncorrected): -517.0 meV per atom